# ZrFePbAu (PBE-GGA, relaxed)
data_ZrFePbAu
_space_group_name_H-M_alt 'F -4 3 m'
_space_group_IT_number 216
_space_group_name_Hall 'F -4 2 3'
_cell_length_a 6.686
_cell_length_b 6.686
_cell_length_c 6.686
_cell_angle_alpha 90.00
_cell_angle_beta 90.00
_cell_angle_gamma 90.00
loop_
_atom_site_label
_atom_site_type_symbol
_atom_site_fract_x
_atom_site_fract_y
_atom_site_fract_z
Zr1 Zr 0.000 0.000 0.000
Fe1 Fe 0.000 0.000 0.500
Pb1 Pb 0.250 0.250 0.250
Au1 Au 0.250 0.250 0.750
# Distance to the lowest polymorph of the same formula ... 12 meV per atom